Record 1
First-principles (PBE) data for an optimized crystal structure of LiRh2Br, as listed in Alexandria.

The structure in CIF format:
```
data_LiRh2Br
_cell_length_a 5.3463
_cell_length_b 5.3463
_cell_length_c 5.3463
_cell_angle_alpha 147.14
_cell_angle_beta 130.89
_cell_angle_gamma 60.36
_space_group_name_H-M_alt 'P 1'
_space_group_IT_number 1
loop_
_space_group_symop_operation_xyz
'x,y,z'
loop_
_atom_site_label
_atom_site_fract_x
_atom_site_fract_y
_atom_site_fract_z
Li1 0.2593 0.7593 0.5000
Br1 0.5181 0.5181 0.0000
Rh1 0.9834 0.9834 0.0000
Rh2 0.7393 0.2393 0.5000
```

Summary:
Polymorph energy (0 for the lowest one) (meV per atom): 227
SG: Imm2, No. 44
E_form (uncorrected) (eV/atom): 0.212
Total magnetization (μB per cell): 0.00


Record 2
First-principles (PBE) data for an optimized crystal structure of Nd6DyY3, as listed in Alexandria.

The structure in CIF format:
```
data_Nd6DyY3
_cell_length_a 3.5868
_cell_length_b 17.0680
_cell_length_c 17.3843
_cell_angle_alpha 139.92
_cell_angle_beta 90.00
_cell_angle_gamma 90.00
_space_group_name_H-M_alt 'P 1'
_space_group_IT_number 1
loop_
_space_group_symop_operation_xyz
'x,y,z'
loop_
_atom_site_label
_atom_site_fract_x
_atom_site_fract_y
_atom_site_fract_z
Y1 0.7500 0.1524 0.1208
Y2 0.2500 0.3489 0.6335
Y3 0.7500 0.6511 0.3665
Y4 0.7500 0.4508 0.8755
Y5 0.2500 0.5492 0.1245
Y6 0.2500 0.8476 0.8792
Nd1 0.7500 0.1419 0.6004
Nd2 0.2500 0.6567 0.9001
Nd3 0.2500 0.4556 0.3647
Nd4 0.2500 0.2438 0.3605
Nd5 0.2500 0.8581 0.3996
Nd6 0.7500 0.3433 0.0999
Nd7 0.7500 0.7562 0.6395
Nd8 0.7500 0.5444 0.6353
Nd9 0.7500 0.9505 0.1256
Nd10 0.2500 0.0495 0.8744
Nd11 0.2500 0.2410 0.8466
Nd12 0.7500 0.7590 0.1534
Dy1 0.7500 0.9655 0.6435
Dy2 0.2500 0.0345 0.3565
```

Summary:
Polymorph energy (0 for the lowest one) (meV per atom): 0
ΔH_f (0 K) (eV/atom): 0.063
SG: P2_1/m, No. 11
Total magnetization (μB per cell): 0.00


Record 3
First-principles (PBE) data for an optimized crystal structure of Pm4PrDy8, as listed in Alexandria.

The structure in CIF format:
```
data_Pm4PrDy8
_cell_length_a 7.4068
_cell_length_b 7.4068
_cell_length_c 10.0073
_cell_angle_alpha 90.00
_cell_angle_beta 111.72
_cell_angle_gamma 120.00
_space_group_name_H-M_alt 'P 1'
_space_group_IT_number 1
loop_
_space_group_symop_operation_xyz
'x,y,z'
loop_
_atom_site_label
_atom_site_fract_x
_atom_site_fract_y
_atom_site_fract_z
Pm1 0.0000 0.0000 0.0000
Pm2 0.5000 0.5000 0.0000
Pm3 0.0000 0.5000 0.0000
Pm4 0.5000 0.0000 0.0000
Dy1 0.0605 0.2499 0.3104
Dy2 0.4998 0.2499 0.3104
Dy3 0.5002 0.7501 0.6896
Dy4 0.9395 0.1894 0.6896
Dy5 0.0605 0.8106 0.3104
Dy6 0.4372 0.2186 0.6557
Dy7 0.9395 0.7501 0.6896
Dy8 0.5628 0.7814 0.3443
Pr1 0.0000 0.5000 0.5000
```

Summary:
ΔH_f (0 K) (eV/atom): 0.187
SG: R-3m, No. 166
Total magnetization (μB per cell): 0.00


Record 4
First-principles (PBE) data for an optimized crystal structure of InGaB2S, as listed in Alexandria.

The structure in CIF format:
```
data_InGaB2S
_cell_length_a 4.0196
_cell_length_b 5.2721
_cell_length_c 4.0196
_cell_angle_alpha 90.00
_cell_angle_beta 90.00
_cell_angle_gamma 90.00
_space_group_name_H-M_alt 'P 1'
_space_group_IT_number 1
loop_
_space_group_symop_operation_xyz
'x,y,z'
loop_
_atom_site_label
_atom_site_fract_x
_atom_site_fract_y
_atom_site_fract_z
In1 0.5000 0.5000 0.5000
Ga1 0.0000 0.5000 0.0000
S1 0.0000 0.0000 0.0000
B1 0.5000 0.0000 0.0000
B2 0.0000 0.0000 0.5000
```

Summary:
SG: P4/mmm, No. 123
E_form (uncorrected) (eV/atom): 1.223
Total magnetization (μB per cell): 0.00